# Tc3AgHg

Crystalline Tc3AgHg at its relaxed geometry (PBE, Alexandria via LeMat-Bulk).

For the energy above the lowest structure with this stoichiometry, the calculation gives 0.0 meV per atom. The size of the total moment is 8.86 μB per formula unit. The mass density comes out at 8.31 g cm⁻³.

The space group is Pm-3m (No. 221) and the conventional cell measures 4.9387, 4.9387 and 4.9387 Å, with angles of 90.00, 90.00 and 90.00 degrees. The inequivalent atoms are Tc at (0.0000, 0.0000, 0.5000), Ag at (0.0000, 0.0000, 0.0000) and Hg at (0.5000, 0.5000, 0.5000).